Compound: SrTl12Hg7
Source: the Alexandria database
Functional: PBE
Structure: optimized geometry

Output
Density: 10.6 g cm⁻³
Symmetry: R-3 (148)
Energy relative to the lowest polymorph listed for this composition: 18 meV per atom
Calculated formation energy: -73 kJ/mol of formula units
DFT total energy: -32.95 eV/cell

Structure (POSCAR):
```
SrTl12Hg7
1.0
7.792 4.499 2.938
-7.792 4.499 2.938
0.000 -8.997 2.938
Sr Tl Hg
1 12 7
direct
0.000 0.000 0.000
0.063 0.850 0.587
0.150 0.413 0.937
0.250 0.607 0.645
0.355 0.750 0.393
0.393 0.355 0.750
0.413 0.937 0.150
0.587 0.063 0.850
0.607 0.645 0.250
0.645 0.250 0.607
0.750 0.393 0.355
0.850 0.587 0.063
0.937 0.150 0.413
0.007 0.631 0.808
0.192 0.993 0.369
0.369 0.192 0.993
0.500 0.500 0.500
0.631 0.808 0.007
0.808 0.007 0.631
0.993 0.369 0.192
```